# K3Ac3WO8

An optimized crystal structure of K3Ac3WO8 (PBE with a Hubbard U, the Alexandria database).

```
K3Ac3WO8
1.0
7.3990 0.0000 0.0000
-3.6995 6.4611 -0.0028
0.0000 -4.2651 6.3297
K Ac W O
3 3 1 8
Cartesian
0.0000 0.0000 0.0000 K
-1.8497 3.2306 -0.0014 K
1.8497 3.2306 -0.0014 K
3.6995 -2.1325 3.1648 Ac
1.8497 1.0980 3.1634 Ac
-1.8497 1.0980 3.1634 Ac
0.0000 -2.1325 3.1648 W
0.0000 2.1874 1.9107 O
3.6995 0.0087 4.4162 O
3.6995 2.3973 2.0442 O
0.0000 -0.2013 4.2827 O
5.8229 -1.2200 2.0627 O
-2.1234 3.4161 4.2642 O
1.5761 -1.2200 2.0627 O
2.1234 3.4161 4.2642 O
```

Output
Space group   C2/m (12)
Total DFT energy (no corrections)   -6.6065 eV per atom

---

# K2AcWO6

An optimized crystal structure of K2AcWO6 (PBE with a Hubbard U, the Alexandria database).

```
K2AcWO6
1.0
-4.5970 2.5616 -3.3628
-4.0510 -4.0838 2.4270
-1.6951 5.6094 6.6093
K Ac W O
4 2 2 12
Cartesian
-4.4612 -2.6636 4.0642 K
-5.6159 3.4293 4.4944 K
-5.8818 6.7507 1.6093 K
-4.7271 0.6578 1.1790 K
-2.2985 1.2808 -1.6814 Ac
-2.8730 0.7628 4.5182 Ac
-3.1460 4.0855 1.6233 W
-2.0255 -2.0419 1.2135 W
-3.9638 -2.1986 1.0162 O
-7.4697 1.5241 2.8551 O
-6.3793 6.2858 4.6573 O
-2.8734 2.5631 2.8184 O
-5.2748 0.3568 4.0675 O
-8.3067 4.5573 5.6223 O
-5.0683 3.7303 1.6060 O
-2.0364 -0.4702 0.0512 O
-6.8755 1.6707 -0.5899 O
-7.4273 1.1756 5.5961 O
-3.4676 2.4164 6.2634 O
-2.9157 2.9116 0.0774 O
```

Output
Space group   P2_1/c (14)
Total DFT energy (no corrections)   -6.5332 eV per atom